The following is a GGA-PBE calculation of a geometry-optimized K2MnTeRh structure, from Alexandria.

The calculation puts the density of states at the Fermi level at 3.257 states/eV per cell. The value obtained for the magnetic moment is 4.82 μB/cell. For the raw formation energy, the calculation gives 0.41 eV/atom.

It has space group P4/mmm (No. 123), with a = 6.2527 Å, b = 6.2527 Å, c = 4.9309 Å, α = 90.00°, β = 90.00° and γ = 90.00°. The inequivalent atoms are K at (0.0000, 0.5000, 0.0000), Mn at (0.0000, 0.0000, 0.5000), Te at (0.5000, 0.5000, 0.5000) and Rh at (0.5000, 0.5000, 0.0000).